Material: Tb4Er
Method: DFT, PBE
State: optimized geometry

```
5
Lattice="4.4992 0.0232 0.0007 -0.0223 4.4990 0.0007 -2.2372 -2.2599 8.2496" Properties=species:S:1:pos:R:3 pbc="T T T"
Er 1.1310 -1.1183 4.1253
Tb 1.1203 1.1320 8.2506
Tb -1.1298 1.1195 5.6597
Tb 3.3695 1.1429 2.5912
Tb -1.1178 -1.1295 8.2500
```

Energy, eV per formula unit: -21.2
Distance to the lowest polymorph of the same formula, meV per atom: 356
Calculated density, kg/m³: 7984

Material: Cd2PtW
Method: DFT, PBE
State: optimized geometry

```
4
Lattice="-3.5282 0.0543 3.9445 1.7072 -2.1053 4.5458 1.8689 3.5778 -3.4230" Properties=species:S:1:pos:R:3 pbc="T T T"
Cd -0.9105 -1.0255 4.2451
Cd 0.0000 0.0000 0.0000
Pt 1.3328 0.2235 2.6839
W -1.2849 1.3033 2.3833
```

Energy, eV per formula unit: -18.7
Distance to the lowest polymorph of the same formula, meV per atom: 478
Calculated density, kg/m³: 13857

Material: Sm3TmZn8
Method: DFT, PBE
State: optimized geometry

```
12
Lattice="-3.8093 3.3638 -2.3603 0.9556 -5.0884 -2.1430 -6.1341 -3.3253 5.1606" Properties=species:S:1:pos:R:3 pbc="T T T"
Zn -3.3041 -2.8378 -2.0606
Zn -4.1143 -5.0284 2.7795
Zn -0.6392 -2.2745 -2.2099
Zn -3.6887 -3.9277 0.3556
Zn -6.0077 -3.3565 1.6064
Zn -5.5327 -5.8856 0.5413
Zn -1.8673 -1.9696 0.2066
Zn -1.3862 -4.5314 -0.8723
Sm -2.5461 0.3702 -2.0144
Sm -5.7932 -3.1405 4.8738
Sm -4.9432 -0.9293 0.0023
Tm -3.4187 -1.8533 2.8762
```

Energy, eV per formula unit: -32.6
Distance to the lowest polymorph of the same formula, meV per atom: 14
Calculated density, kg/m³: 8045

Material: Ti2CrPd
Method: DFT, PBE
State: optimized geometry

```
8
Lattice="3.8589 0.0000 0.0000 0.0000 3.8589 0.0000 1.9294 1.9294 8.7241" Properties=species:S:1:pos:R:3 pbc="T T T"
Cr 1.9294 1.9294 0.0000
Cr 1.9294 3.8589 4.3621
Ti 1.0108 2.8942 2.1810
Ti 4.8236 4.7775 6.5431
Ti 2.8481 0.9647 2.1810
Ti 2.8942 2.9402 6.5431
Pd 3.8589 1.9294 4.3621
Pd 0.0000 0.0000 0.0000
```

Energy, eV per formula unit: -28.8
Distance to the lowest polymorph of the same formula, meV per atom: 812
Calculated density, kg/m³: 6497

Material: ZrVNiRh
Method: DFT, PBE
State: optimized geometry

```
4
Lattice="4.4525 0.0000 0.0000 2.2263 3.8560 0.0000 2.2263 1.2853 3.6355" Properties=species:S:1:pos:R:3 pbc="T T T"
Zr 0.0000 0.0000 0.0000
V 4.4525 2.5707 1.8177
Ni 2.2263 1.2853 0.9089
Rh 6.6788 3.8560 2.7266
```

Energy, eV per formula unit: -31.8
Calculated density, kg/m³: 8081

Material: Pm4SiSn
Method: DFT, PBE
State: optimized geometry

```
12
Lattice="-3.2019 -4.2001 -5.1071 5.9969 -4.2300 -0.2810 -2.7777 -4.2952 5.3777" Properties=species:S:1:pos:R:3 pbc="T T T"
Pm -2.4514 -5.6231 -2.3884
Pm -0.0215 -4.1078 0.1263
Pm 0.7847 -7.1433 -3.4807
Pm 3.3977 -5.7571 -0.9746
Pm -3.3804 -6.9681 0.9642
Pm 0.0389 -8.6174 -0.1367
Pm 2.4688 -7.1021 2.3780
Pm -0.7673 -5.5820 3.4703
Sn 1.3975 -4.2150 -2.6940
Sn 0.0000 0.0000 0.0000
Si -2.9898 -4.2476 0.1353
Si 1.6096 -4.2626 2.5483
```

Energy, eV per formula unit: -30.3
Calculated density, kg/m³: 6028

For each record above, in turn, the calculated calculated volume values are 33.4 18.1 19.7 16.2 15.6 33.4 A^3/atom.